Record 1
8
Lattice="-0.1497 4.5695 -3.8073 -5.5375 -1.4970 -1.5789 -3.9134 3.2631 -0.5784" Properties=species:S:1:pos:R:3 comment="PBE Re2HAu, optimized geometry" relative_energy_mev_per_atom=0 space_group="I-42d, No. 122" pbc="T T T"
Re -1.7453 2.9110 -2.2436
Re -4.4768 1.0249 -2.0852
Re -5.7629 3.4116 -2.6518
Re -7.2163 5.3237 -4.9485
Au 0.0000 0.0000 0.0000
Au -3.4534 4.6844 -3.5394
H -2.8436 1.5362 -2.6931
H -6.1473 1.6512 -2.4252

=====

Record 2
5
Lattice="3.5403 0.0000 0.0000 0.0000 3.5403 0.0000 0.0000 0.0000 3.5403" Properties=species:S:1:pos:R:3 comment="PBE ReH3Au, optimized geometry" relative_energy_mev_per_atom=0 space_group="Pm-3m, No. 221" pbc="T T T"
Re 0.0000 0.0000 0.0000
Au 1.7702 1.7702 1.7702
H 0.0000 1.7702 0.0000
H 0.0000 0.0000 1.7702
H 1.7702 0.0000 0.0000

=====

Record 3
8
Lattice="-4.2192 4.3548 -0.6693 -1.3968 -0.4431 5.9217 -0.7492 4.0492 3.2684" Properties=species:S:1:pos:R:3 comment="PBE ReHAu2, optimized geometry" relative_energy_mev_per_atom=0 space_group="I-42d, No. 122" pbc="T T T"
Re 0.0000 0.0000 0.0000
Re -3.8882 5.1799 2.6126
Au -2.5759 3.2420 1.2061
Au -2.0107 1.7163 4.3674
Au -2.8079 4.4593 5.0146
Au -5.3358 6.5040 6.4534
H -2.8080 1.9558 2.6262
H -2.4770 2.7809 5.9081

=====

Record 4
5
Lattice="-2.9362 0.0111 -2.1561 0.4537 -5.2015 -0.6446 -2.1332 -0.5457 2.9021" Properties=species:S:1:pos:R:3 comment="PBE ReH2RuAu, optimized geometry" space_group="P4/mmm, No. 123" pbc="T T T"
Re 0.0000 0.0000 0.0000
Au 0.2268 -2.6007 -0.3223
H -1.0666 -0.2729 1.4511
H -1.4681 0.0056 -1.0781
Ru -2.3079 -2.8680 0.0507

=====

Record 5
5
Lattice="-3.1438 2.6389 0.7567 -0.7854 -1.9669 3.5965 2.5122 2.4512 1.8891" Properties=species:S:1:pos:R:3 comment="PBE Ta2ReHAu, optimized geometry" space_group="P4/mmm, No. 123" pbc="T T T"
Re 1.2561 1.2256 0.9446
Au -0.7085 1.5616 3.1211
H 0.0000 0.0000 0.0000
Ta -0.3927 -0.9834 1.7982
Ta -1.5719 1.3195 0.3783

=====

Record 6
5
Lattice="-3.0633 0.4073 2.8529 -1.8881 -3.4291 -1.5378 1.9300 -2.1284 2.3762" Properties=species:S:1:pos:R:3 comment="PBE Ti2ReHAu, optimized geometry" space_group="P4/mmm, No. 123" pbc="T T T"
Re 0.9650 -1.0642 1.1881
Au -1.5107 -2.5751 1.8457
H 0.0000 0.0000 0.0000
Ti -0.9441 -1.7146 -0.7689
Ti -1.5317 0.2036 1.4265

=====

Record 7
5
Lattice="-0.4367 -2.3552 -3.1398 4.3103 1.1969 -1.4974 1.5442 -3.0075 2.0411" Properties=species:S:1:pos:R:3 comment="PBE TlRe2HAu, optimized geometry" space_group="P4/mmm, No. 123" pbc="T T T"
Re 0.7721 -1.5037 1.0206
Re -0.2184 -1.1776 -1.5699
Tl 2.1552 0.5984 -0.7487
Au 2.7089 -2.0829 -1.2980
H 0.0000 0.0000 0.0000

=====

Record 8
5
Lattice="-2.5116 0.4077 3.0400 1.7977 -2.9879 1.8859 2.4156 2.5013 1.6602" Properties=species:S:1:pos:R:3 comment="PBE V2ReHAu, optimized geometry" space_group="P4/mmm, No. 123" pbc="T T T"
Re 1.2078 1.2506 0.8301
Au 0.8509 -0.0395 3.2931
H 0.0000 0.0000 0.0000
V 0.8988 -1.4940 0.9430
V -1.2558 0.2039 1.5200

=====

Record 9
5
Lattice="-0.4296 -2.4671 3.7861 1.7665 -3.5923 -2.1404 3.4710 1.0604 1.0849" Properties=species:S:1:pos:R:3 comment="PBE Zr2ReHAu, optimized geometry" space_group="P4/mmm, No. 123" pbc="T T T"
Re 1.7355 0.5302 0.5424
Au 2.4039 -2.4995 1.3653
Zr 0.8832 -1.7962 -1.0702
Zr -0.2148 -1.2336 1.8931
H 0.0000 0.0000 0.0000

=====

Record 10
4
Lattice="2.8869 0.0000 0.0000 1.4435 2.5001 0.0000 1.4435 0.8334 5.5195" Properties=species:S:1:pos:R:3 comment="PBE H2RhAu, optimized geometry" relative_energy_mev_per_atom=0 space_group="R3m, No. 160" pbc="T T T"
H 1.4435 0.8334 4.7534
H 1.4435 0.8334 0.7351
Rh 4.3304 2.5001 5.4822
Au 2.8869 1.6668 2.8282

=====

Record 11
5
Lattice="4.1546 0.0000 0.0000 0.0000 4.1546 0.0000 0.0000 0.0000 4.1546" Properties=species:S:1:pos:R:3 comment="PBE HRhAu3, optimized geometry" relative_energy_mev_per_atom=0 space_group="Pm-3m, No. 221" pbc="T T T"
Rh 2.0773 2.0773 2.0773
Au 0.0000 2.0773 0.0000
Au 0.0000 0.0000 2.0773
Au 2.0773 0.0000 0.0000
H 0.0000 0.0000 0.0000

=====

Record 12
80
Lattice="-3.3448 8.6217 3.0542 -6.5427 -4.1034 -5.9335 1.5092 -5.8008 7.6761" Properties=species:S:1:pos:R:3 comment="PBE H12Rh3Au5, optimized geometry" space_group="Ia-3d, No. 230" pbc="T T T"
Rh -4.7735 4.2024 1.0251
Rh -7.6451 3.7413 -0.8181
Rh -5.2180 -3.4700 1.4928
Rh -1.0881 -0.5328 2.9004
Rh -3.3673 5.5809 3.8498
Rh -4.9662 -0.7817 -0.6440
Rh -3.4121 -0.5008 5.4409
Rh -5.0110 -6.8634 0.9471
Rh -7.2902 -0.7497 1.8965
Rh -3.1602 2.1874 3.3041
Rh -0.7332 -5.0239 5.6150
Rh -3.6048 -5.4850 3.7718
Au -2.4943 -1.9113 0.0758
Au -3.2713 -2.0517 -2.9667
Au 0.0000 0.0000 0.0000
Au -2.7013 1.4822 0.6215
Au -0.9178 1.4105 5.3652
Au -4.9437 2.2592 -1.4396
Au -4.7591 -4.1752 -1.1898
Au -2.0059 0.8776 8.2656
Au -6.0318 1.7263 1.4608
Au -0.9402 -1.6304 6.1608
Au -7.4380 0.3479 -1.3639
Au -4.1891 -0.6413 2.3984
Au -1.6724 4.3109 1.5271
Au 0.7546 -2.9004 3.8381
Au -2.3464 -3.0089 3.3361
Au -6.3724 -2.1602 -3.4687
Au -2.5167 -4.9521 0.8713
Au -3.6191 2.8926 5.9867
Au -5.6770 -2.7647 4.1754
Au -5.8840 0.6287 4.7211
H -3.3775 5.3360 1.9336
H -4.2401 -1.9385 0.8370
H -4.9695 5.0602 2.7449
H -3.2805 3.0712 1.4976
H -5.8223 -1.8425 2.5152
H -6.6256 4.6269 0.6770
H -5.4460 -2.6250 -0.3219
H -5.9915 -3.9537 -3.9848
H -6.9779 -2.6782 1.4041
H -6.0848 3.0159 0.0600
H -4.7891 2.7778 2.4497
H -8.6995 2.9599 -2.3467
H -4.5062 -5.0586 0.4786
H -3.7808 0.7392 -0.7608
H -5.8036 -5.0222 -2.5387
H -1.5085 -0.4434 4.7838
H -1.0269 -1.3290 1.1414
H -5.6692 0.4669 -2.0603
H -8.3573 1.9470 -0.8888
H -3.0856 -0.8160 -1.3661
H -6.0650 -5.2027 1.3829
H -5.5928 -0.0794 1.0429
H -7.6606 1.1910 2.2906
H -3.3332 -0.1209 7.3333
H -2.7855 -1.2032 3.7540
H -0.7177 -2.4736 2.5063
H -5.0451 -1.1616 -2.5364
H -0.0210 -3.2296 5.6857
H -2.3132 3.9201 3.4140
H -5.2927 -0.4665 6.1629
H -2.7091 -1.7495 6.8572
H -6.8698 -0.8392 0.0131
H -7.3514 0.0465 3.6555
H -2.5746 3.7397 7.3356
H -3.8721 3.7761 4.3182
H 0.3213 -4.2424 7.1436
H -4.5974 -2.0217 5.5577
H -1.4004 1.3957 3.3928
H -2.2934 -4.2984 4.7369
H -3.5892 -4.0604 2.3472
H -2.3868 2.6711 8.7817
H -2.9323 1.3425 5.1188
H -5.0978 -4.3538 3.2993
H -1.7527 -5.9094 4.1198
H -2.5560 0.5599 2.2817
H -3.4088 -6.3427 2.0520
H -4.1382 0.6560 3.9599
H -5.0008 -6.6185 2.8633

=====

Record 13
5
Lattice="3.1209 0.0000 0.0000 0.0000 3.1209 0.0000 1.5604 1.5604 5.4265" Properties=species:S:1:pos:R:3 comment="PBE H2Rh2Au, optimized geometry" relative_energy_mev_per_atom=0 space_group="I4/mmm, No. 139" pbc="T T T"
Rh 1.5604 1.5604 1.7335
Rh 3.1209 3.1209 3.6931
Au 0.0000 0.0000 0.0000
H 3.1209 1.5604 2.7133
H 1.5604 3.1209 2.7133

=====

Record 14
8
Lattice="-2.5336 1.3106 -0.4679 -1.2913 -4.6944 2.7716 0.4678 2.4849 4.4267" Properties=species:S:1:pos:R:3 comment="PBE H2RhAu, optimized geometry" relative_energy_mev_per_atom=4 space_group="Cmcm, No. 63" pbc="T T T"
H -1.3749 -1.2137 4.0450
H -1.9822 0.3147 2.6854
H -2.1710 -0.6882 0.8986
H -1.1861 -0.2107 5.8317
Rh -1.0051 -1.1504 2.2197
Rh -2.3520 0.2514 4.5106
Au -3.4708 -2.3882 3.1751
Au 0.1137 1.4893 3.5552

=====

Record 15
4
Lattice="-1.2749 1.2984 2.3284 -2.5487 -1.0499 1.0651 1.2994 -2.9947 4.2567" Properties=species:S:1:pos:R:3 comment="PBE H2RhAu, optimized geometry" relative_energy_mev_per_atom=8 space_group="R-3m, No. 166" pbc="T T T"
Rh 0.0000 0.0000 0.0000
Au -1.2621 -1.3731 3.8251
H -0.9332 -0.3253 1.5457
H -1.5911 -2.4209 6.1046

=====

Record 16
4
Lattice="1.4946 2.3176 -0.6151 -0.4722 -0.4478 -2.8344 -9.9950 -6.4526 2.6844" Properties=species:S:1:pos:R:3 comment="PBE H2RhAu, optimized geometry" relative_energy_mev_per_atom=78 space_group="P2/m, No. 10" pbc="T T T"
H -8.1006 -4.2612 2.0226
H -4.6502 -1.9413 1.0813
Rh -7.3587 -4.4839 0.4423
Au -1.6139 -0.0988 -1.2074

=====

Record 17
8
Lattice="-0.9730 3.5090 2.0277 1.9604 -1.4176 3.3939 4.4350 2.9859 1.2446" Properties=species:S:1:pos:R:3 comment="PBE H2RhAu, optimized geometry" relative_energy_mev_per_atom=92 space_group="I-42d, No. 122" pbc="T T T"
Rh 0.4937 1.0457 2.7108
Rh 3.4446 1.3070 3.6746
Au 0.0000 0.0000 0.0000
Au 1.9779 3.7703 2.9916
H 0.8114 2.5253 1.8657
H 2.1467 0.5361 2.8228
H 3.8290 2.9279 3.1958
H 4.0578 4.1651 5.4481

=====

Record 18
80
Lattice="-2.2661 -7.4887 -5.6293 6.7960 5.3121 -4.3013 3.3160 -3.2248 8.4564" Properties=species:S:1:pos:R:3 comment="PBE H12Rh5Au3, optimized geometry" space_group="Ia-3d, No. 230" pbc="T T T"
Au 1.2634 -4.0276 -4.7779
Au 3.5286 -2.9716 -7.0945
Au 6.3197 -0.8396 -0.0517
Au 1.5265 -2.4175 1.2262
Au -0.3043 -6.6948 -3.3492
Au 4.2267 -0.2944 -2.6852
Au 3.6192 -5.1070 1.2110
Au 8.1502 1.2935 1.8750
Au 6.3194 -2.9839 -2.7003
Au 1.5262 -4.5617 -1.4225
Au 4.3172 -2.4297 5.6204
Au 6.5824 -1.3738 3.3037
Rh 3.0942 0.2498 -0.2025
Rh 3.3980 2.6561 -2.1506
Rh 0.0000 0.0000 0.0000
Rh 1.2637 -1.8833 -2.1293
Rh 0.5249 -5.3568 1.4136
Rh 2.2649 -1.0883 -4.9653
Rh 6.0572 1.8387 -0.7585
Rh 2.0514 -7.7742 2.6397
Rh 3.7914 -3.5058 -3.7391
Rh 2.4867 -4.5628 3.6937
Rh 5.3592 -0.8385 -5.1678
Rh 3.9229 -2.7007 -0.7371
Rh -1.1331 -3.7444 -2.8146
Rh 1.6580 -1.6124 4.2282
Rh 4.0545 -1.8956 2.2649
Rh 5.7945 2.3728 -4.1139
Rh 5.0560 1.0437 2.0776
Rh 1.7886 -7.2401 -0.7157
Rh 6.5822 -3.5180 0.6551
Rh 4.7516 -5.6511 -1.2716
H -0.8690 -4.8618 -4.1779
H 4.2679 -0.9810 -0.4202
H 1.5122 -6.1019 -4.7462
H 0.5301 -3.1419 -3.0334
H 5.6764 -3.0197 -0.7127
H 2.2713 -4.8566 -6.4095
H 5.9627 0.5763 -1.9148
H 6.1996 3.8852 -3.4152
H 7.5943 -1.2920 -1.6443
H 3.1523 -2.6307 -5.0678
H 2.7723 -4.7231 -3.0918
H 4.5423 -1.2728 -8.3944
H 6.3239 1.3443 0.8614
H 2.3677 -1.1060 -3.1859
H 7.4048 2.8022 -1.2003
H 1.6603 -4.2478 2.2248
H 1.6673 -0.5304 0.3403
H 3.7899 -0.1666 -5.0082
H 5.1623 -2.3522 -5.9487
H 2.6634 1.1236 -1.6134
H 8.3429 -0.4074 0.2400
H 4.0446 -2.3660 -2.4835
H 5.1964 -4.3032 -4.3133
H 3.3141 -7.1195 1.6823
H 3.8012 -3.0354 1.0094
H 2.6495 -1.0982 2.8391
H 4.5318 1.7181 -3.1565
H 2.6836 -3.0492 4.4745
H -0.4971 -4.9940 -1.7142
H 5.1825 -6.5249 0.1392
H 4.0560 -5.2348 3.5340
H 6.1856 -1.1536 -3.6990
H 6.1786 -4.8709 -1.8145
H 0.4410 -8.2036 -0.2738
H 1.5220 -6.7456 -2.3356
H 3.3036 -4.1286 6.9202
H 5.4782 -4.2954 1.7118
H 0.2516 -4.1094 0.1701
H 4.6936 -2.7707 3.5937
H 5.0736 -0.6782 1.6176
H 1.6463 -9.2866 1.9410
H 1.8831 -5.9777 0.4406
H 7.3158 -2.2595 1.5593
H 5.5745 -0.5447 4.9353
H 2.1695 -2.3817 -0.7615
H 6.3336 0.7005 3.2720
H 3.5779 -4.4204 -1.0540
H 8.7149 -0.5395 2.7037

=====

Record 19
4
Lattice="2.1450 -2.5806 1.8407 -0.6482 -0.7384 3.6991 -1.5177 -3.3548 1.0444" Properties=species:S:1:pos:R:3 comment="PBE H2RhAu, optimized geometry" relative_energy_mev_per_atom=526 space_group="Fm-3m, No. 225" pbc="T T T"
Rh 0.0000 0.0000 0.0000
Au -0.0104 -3.3369 3.2921
H -0.0052 -1.6685 1.6461
H -0.0156 -5.0054 4.9382

=====

Record 20
5
Lattice="5.0756 0.0000 0.0000 0.0000 5.0756 0.0000 0.0000 0.0000 5.0756" Properties=species:S:1:pos:R:3 comment="PBE HRhAu3, optimized geometry" relative_energy_mev_per_atom=1031 space_group="Pm-3m, No. 221" pbc="T T T"
Rh 0.0000 0.0000 0.0000
Au 0.0000 2.5378 0.0000
Au 0.0000 0.0000 2.5378
Au 2.5378 0.0000 0.0000
H 2.5378 2.5378 2.5378

=====

no.,VASP energy (eV per atom)
1,-7.26
2,-4.53
3,-4.68
4,-5.11
5,-8.59
6,-7.25
7,-5.84
8,-7.47
9,-7.52
10,-4.27
11,-3.74
12,-3.64
13,-4.87
14,-4.27
15,-4.26
16,-4.19
17,-4.18
18,-4.14
19,-3.74
20,-2.71